# 1
VASP calculation (PBE) on a relaxed Pm2PrNd6In crystal.

Cell lengths 8.6210, 8.6210, 9.6388 Å; angles 98.83, 98.83, 98.92 degrees
Last column: nearest neighbours and their distance in Å.
Element x y z (fractional)
Pm  0.1909  0.2551  0.1126  5 Nd 3.40-3.72, 1 Pr 3.46, 1 In 3.50
Pm  0.2551  0.1909  0.6126  5 Nd 3.40-3.72, 1 Pr 3.46, 1 In 3.50
Pm  0.7449  0.8091  0.3874  5 Nd 3.40-3.72, 1 Pr 3.46, 1 In 3.50
Pm  0.8091  0.7449  0.8874  5 Nd 3.40-3.72, 1 Pr 3.46, 1 In 3.50
Pr  0.0869  0.9131  0.2500  2 Nd 3.29, 2 Pm 3.46
Pr  0.9131  0.0869  0.7500  2 Nd 3.29, 2 Pm 3.46
Nd  0.0667  0.4698  0.8387  1 In 3.24, 1 Pr 3.29, 2 Nd 3.47-3.48, 2 Pm 3.52-3.58
Nd  0.0681  0.7236  0.5901  3 Nd 3.37-3.48, 1 Pm 3.40, 1 In 3.49
Nd  0.2764  0.9319  0.9099  3 Nd 3.37-3.48, 1 Pm 3.40, 1 In 3.49
Nd  0.3245  0.5632  0.4056  2 In 3.25-3.31, 2 Nd 3.37-3.52, 1 Pm 3.48
Nd  0.4368  0.6755  0.0944  2 In 3.25-3.31, 2 Nd 3.37-3.52, 1 Pm 3.48
Nd  0.4698  0.0667  0.3387  1 In 3.24, 1 Pr 3.29, 2 Nd 3.47-3.48, 2 Pm 3.52-3.58
Nd  0.5302  0.9333  0.6613  1 In 3.24, 1 Pr 3.29, 2 Nd 3.47-3.48, 2 Pm 3.52-3.58
Nd  0.5632  0.3245  0.9056  2 In 3.25-3.31, 2 Nd 3.37-3.52, 1 Pm 3.48
Nd  0.6755  0.4368  0.5944  2 In 3.25-3.31, 2 Nd 3.37-3.52, 1 Pm 3.48
Nd  0.7236  0.0681  0.0901  3 Nd 3.37-3.48, 1 Pm 3.40, 1 In 3.49
Nd  0.9319  0.2764  0.4099  3 Nd 3.37-3.48, 1 Pm 3.40, 1 In 3.49
Nd  0.9333  0.5302  0.1613  1 In 3.24, 1 Pr 3.29, 2 Nd 3.47-3.48, 2 Pm 3.52-3.58
In  0.4050  0.5950  0.7500  8 Nd 3.24-3.49, 2 Pm 3.50
In  0.5950  0.4050  0.2500  8 Nd 3.24-3.49, 2 Pm 3.50

Values from the calculation:
Crystal system: monoclinic
Symmetry: C2/c, No. 15
Magnetization: 0.000 μB/atom
Final energy: -0.335 Ry per atom
Density: 6.82 g/cm³
Formation energy from the elements: 0.002 eV per atom
V: 34.38 Å³ per atom


# 2
VASP calculation (PBE) on a relaxed CeLuScGa crystal.

Cell lengths 5.1625, 5.1625, 5.1625 Å; angles 60.00, 60.00, 60.00 degrees
Last column: nearest neighbours and their distance in Å.
Element x y z (fractional)
Ce  0.0000  0.0000  0.0000  4 Sc 3.16, 4 Ga 3.16
Lu  0.5000  0.5000  0.5000  4 Sc 3.16, 4 Ga 3.16
Sc  0.7500  0.7500  0.7500  4 Lu 3.16, 4 Ce 3.16
Ga  0.2500  0.2500  0.2500  4 Ce 3.16, 4 Lu 3.16

Values from the calculation:
Crystal system: cubic
Symmetry: F-43m, No. 216
Magnetization: 0.215 μB/atom
Final energy: -0.373 Ry per atom
Density: 7.34 g/cm³
Formation energy from the elements: -0.128 eV per atom
V: 24.32 Å³ per atom


# 3
VASP calculation (PBE) on a relaxed CaEr2Zr crystal.

Cell lengths 3.4804, 3.4804, 10.1455 Å; angles 90.00, 90.00, 90.00 degrees
Last column: nearest neighbours and their distance in Å.
Element x y z (fractional)
Ca  0.0000  0.0000  0.0000  4 Ca 3.48, 8 Er 3.80
Er  0.5000  0.5000  0.2857  4 Zr 3.28, 4 Er 3.48
Er  0.5000  0.5000  0.7143  4 Zr 3.28, 4 Er 3.48
Zr  0.0000  0.0000  0.5000  8 Er 3.28, 4 Zr 3.48

Values from the calculation:
Crystal system: tetragonal
Symmetry: P4/mmm, No. 123
Magnetization: 0.000 μB/atom
Final energy: -0.354 Ry per atom
Density: 6.29 g/cm³
Formation energy from the elements: 0.100 eV per atom
V: 30.72 Å³ per atom
ΔE to the lowest computed polymorph: 0.000 eV/atom


# 4
VASP calculation (PBE) on a relaxed LiMnRe2 crystal.

Cell lengths 3.0943, 4.1548, 4.3130 Å; angles 90.00, 90.00, 90.00 degrees
Last column: nearest neighbours and their distance in Å.
Element x y z (fractional)
Li  0.0000  0.0000  0.0000  4 Mn 2.59, 4 Re 2.65
Mn  0.5000  0.5000  0.0000  4 Li 2.59, 4 Re 2.65
Re  0.0000  0.5000  0.5000  4 Re 2.59, 4 Mn 2.65
Re  0.5000  0.0000  0.5000  4 Re 2.59, 4 Li 2.65

Values from the calculation:
Crystal system: orthorhombic
Symmetry: Pmmm, No. 47
Magnetization: 0.712 μB/atom
Final energy: -0.641 Ry per atom
Density: 13.01 g/cm³
Formation energy from the elements: 0.276 eV per atom
V: 13.86 Å³ per atom
ΔE to the lowest computed polymorph: 0.099 eV/atom